A plane-wave DFT calculation with PBE with a Hubbard U was carried out for a relaxed structure of MoCF2.

Values from the calculation:
relative energy among the computed polymorphs = 558.2 meV per atom
E_tot = -17.379 eV for the cell shown
magnetization = 0.526 μB/f.u.

Cell lengths 3.953, 3.953, 3.953 Å; angles 60.00, 60.00, 60.00 degrees
Fractional coordinates of all 4 atoms:
F: 0.250 0.250 0.250
F: 0.750 0.750 0.750
Mo: 0.500 0.500 0.500
C: 0.000 0.000 0.000